Here is an optimized crystal structure of CoBiI3 from the Alexandria database. Energies are from GGA-PBE.

Calculated values
For the total energy, the calculation gives -0.0899 hartree per atom. For the uncorrected formation energy, the calculation gives 682 meV per atom. The value obtained for the calculated density is 4558 kg/m3. The magnetization is 3.247 μB per formula unit. The space group is Pm-3m (221).

Cell lengths 6.183, 6.183, 6.183 Å; angles 90.00, 90.00, 90.00 degrees
Atoms (fractional coordinates):
Bi  0.000  0.000  0.000
I  0.500  0.000  0.000
I  0.000  0.000  0.500
I  0.000  0.500  0.000
Co  0.500  0.500  0.500